Ho3B2Ir7: optimized geometry, PBE.

It has space group R-3m (No. 166, hexagonal axes), with a = 5.4070 Å, b = 5.4070 Å, c = 22.5881 Å, α = 90.00°, β = 90.00° and γ = 120.00°. The distinct sites, in fractional coordinates, are Ho at (0.0000, 0.0000, 0.0000), Ho at (0.0000, 0.0000, 0.1435), B at (0.0000, 0.0000, 0.3354), Ir at (0.0000, 0.0000, 0.5000) and Ir at (0.0008, 0.5004, 0.9304).

For the density of states at the Fermi level, the calculation gives 0.871 states/eV per atom. For the formation energy, the calculation gives -0.74 eV/atom. As for the total energy: -8.17 eV/atom.

---

TbSi2Ir2: optimized geometry, PBE.

It has space group P4/nmm (No. 129, origin choice 2), with a = 4.1401 Å, b = 4.1401 Å, c = 9.8484 Å, α = 90.00°, β = 90.00° and γ = 90.00°. The distinct sites, in fractional coordinates, are Tb at (0.2500, 0.2500, 0.2449), Si at (0.2500, 0.2500, 0.6311), Si at (0.2500, 0.7500, 0.0000), Ir at (0.2500, 0.2500, 0.8719) and Ir at (0.2500, 0.7500, 0.5000).

For the density of states at the Fermi level, the calculation gives 0.463 states/eV per atom. As for the total energy: -7.70 eV/atom. Its formation energy (no corrections) is -1.063 eV per atom.

---

NaVH3: optimized geometry, PBE.

It has space group C2/m (No. 12), with a = 9.1646 Å, b = 3.4280 Å, c = 6.0725 Å, α = 90.00°, β = 100.37° and γ = 90.00°. The distinct sites, in fractional coordinates, are Na at (0.1170, 0.0000, 0.3814), V at (0.1486, 0.5000, 0.9450), H at (0.0498, 0.5000, 0.1700), H at (0.1344, 0.5000, 0.6495) and H at (0.1813, 0.0000, 0.8648).

For the density of states at the Fermi level, the calculation gives 0.131 states/eV per atom. As for the total energy: -4.21 eV/atom. The energy above the lowest structure with this stoichiometry is 0.00 kcal/mol of atoms.

---

TbTm2Pd2: optimized geometry, PBE.

It has space group P2_1/m (No. 11), with a = 5.3940 Å, b = 4.6066 Å, c = 10.2626 Å, α = 90.00°, β = 98.61° and γ = 90.00°. The distinct sites, in fractional coordinates, are Tb at (0.0860, 0.2500, 0.2843), Tm at (0.2553, 0.2500, 0.9667), Tm at (0.3896, 0.2500, 0.6183), Pd at (0.1491, 0.7500, 0.4719) and Pd at (0.2661, 0.7500, 0.1370).

For the density of states at the Fermi level, the calculation gives 0.808 states/eV per atom. For the formation energy, the calculation gives -0.70 eV/atom. As for the total energy: -5.49 eV/atom. The energy above the lowest structure with this stoichiometry is 1.08 kcal/mol of atoms.

---

KTi2Tl2: optimized geometry, PBE.

It has space group P4/mbm (No. 127), with a = 8.8423 Å, b = 8.8423 Å, c = 3.0798 Å, α = 90.00°, β = 90.00° and γ = 90.00°. The distinct sites, in fractional coordinates, are K at (0.0000, 0.0000, 0.0000), Ti at (0.1095, 0.3905, 0.0000) and Tl at (0.1820, 0.6820, 0.5000).

For the density of states at the Fermi level, the calculation gives 0.709 states/eV per atom. For the formation energy, the calculation gives 0.21 eV/atom. As for the total energy: -4.11 eV/atom. The energy above the lowest structure with this stoichiometry is 0.00 kcal/mol of atoms.

---

YNiPd3: optimized geometry, PBE.

It has space group Pm-3m (No. 221), with a = 4.9826 Å, b = 4.9826 Å, c = 4.9826 Å, α = 90.00°, β = 90.00° and γ = 90.00°. The distinct sites, in fractional coordinates, are Y at (0.0000, 0.0000, 0.0000), Ni at (0.5000, 0.5000, 0.5000) and Pd at (0.0000, 0.0000, 0.5000).

For the density of states at the Fermi level, the calculation gives 1.465 states/eV per atom. For the formation energy, the calculation gives 1.00 eV/atom. As for the total energy: -4.56 eV/atom. The energy above the lowest structure with this stoichiometry is 23.49 kcal/mol of atoms.

---

NbBPd3: optimized geometry, PBE.

It has space group Pm-3m (No. 221), with a = 4.2153 Å, b = 4.2153 Å, c = 4.2153 Å, α = 90.00°, β = 90.00° and γ = 90.00°. The distinct sites, in fractional coordinates, are Nb at (0.0000, 0.0000, 0.0000), B at (0.5000, 0.5000, 0.5000) and Pd at (0.0000, 0.5000, 0.5000).

For the density of states at the Fermi level, the calculation gives 1.375 states/eV per atom. For the formation energy, the calculation gives 0.09 eV/atom. As for the total energy: -6.38 eV/atom. The energy above the lowest structure with this stoichiometry is 0.00 kcal/mol of atoms.

---

HoTl2InBr6: optimized geometry, PBE.

It has space group R3 (No. 146, hexagonal axes), with a = 8.1324 Å, b = 8.1324 Å, c = 20.8899 Å, α = 90.00°, β = 90.00° and γ = 120.00°. The distinct sites, in fractional coordinates, are Ho at (0.0000, 0.0000, 0.0000), Tl at (0.0000, 0.0000, 0.3040), Tl at (0.0000, 0.0000, 0.7938), In at (0.0000, 0.0000, 0.5089), Br at (0.0237, 0.4062, 0.7391) and Br at (0.0749, 0.6953, 0.5831).

For the density of states at the Fermi level, the calculation gives 0.000 states/eV per atom. As for the total energy: -3.44 eV/atom. Its formation energy (no corrections) is -1.236 eV per atom.

---

Tb3Y: optimized geometry, PBE.

It has space group Fm-3m (No. 225), with a = 8.0422 Å, b = 8.0422 Å, c = 8.0422 Å, α = 90.00°, β = 90.00° and γ = 90.00°. The distinct sites, in fractional coordinates, are Tb at (0.0000, 0.0000, 0.0000), Tb at (0.2500, 0.2500, 0.2500) and Y at (0.0000, 0.0000, 0.5000).

For the density of states at the Fermi level, the calculation gives 2.688 states/eV per atom. For the formation energy, the calculation gives 0.14 eV/atom. As for the total energy: -4.95 eV/atom. The energy above the lowest structure with this stoichiometry is 3.06 kcal/mol of atoms.

---

LiNd2I: optimized geometry, PBE.

It has space group R-3m (No. 166, hexagonal axes), with a = 3.6688 Å, b = 3.6688 Å, c = 35.6598 Å, α = 90.00°, β = 90.00° and γ = 120.00°. The distinct sites, in fractional coordinates, are Li at (0.0000, 0.0000, 0.0000), Nd at (0.0000, 0.0000, 0.0945) and I at (0.0000, 0.0000, 0.5000).

For the density of states at the Fermi level, the calculation gives 1.254 states/eV per atom. As for the total energy: -3.37 eV/atom. Its formation energy (no corrections) is -0.117 eV per atom.

---

NaTePbI: optimized geometry, PBE.

It has space group R3m (No. 160, hexagonal axes), with a = 4.6058 Å, b = 4.6058 Å, c = 23.5667 Å, α = 90.00°, β = 90.00° and γ = 120.00°. The distinct sites, in fractional coordinates, are Na at (0.0000, 0.0000, 0.0000), Te at (0.0000, 0.0000, 0.2485), Pb at (0.0000, 0.0000, 0.5111) and I at (0.0000, 0.0000, 0.7441).

For the density of states at the Fermi level, the calculation gives 0.000 states/eV per atom. As for the total energy: -3.21 eV/atom. Its formation energy (no corrections) is -0.777 eV per atom.

---

La4Y3Er2: optimized geometry, PBE.

It has space group C2/m (No. 12), with a = 13.0498 Å, b = 3.6796 Å, c = 14.5986 Å, α = 90.00°, β = 116.10° and γ = 90.00°. The distinct sites, in fractional coordinates, are La at (0.2207, 0.0000, 0.1070), La at (0.2237, 0.5000, 0.3723), Y at (0.0000, 0.5000, 0.5000), Y at (0.0053, 0.5000, 0.8872) and Er at (0.0460, 0.0000, 0.7086).

For the density of states at the Fermi level, the calculation gives 1.601 states/eV per atom. For the formation energy, the calculation gives 0.09 eV/atom. As for the total energy: -5.27 eV/atom. The energy above the lowest structure with this stoichiometry is 1.28 kcal/mol of atoms.

---

Pm4PrIr2: optimized geometry, PBE.

It has space group P2_1/m (No. 11), with a = 8.0173 Å, b = 6.6555 Å, c = 8.0600 Å, α = 90.00°, β = 113.15° and γ = 90.00°. The distinct sites, in fractional coordinates, are Pm at (0.0128, 0.2500, 0.3779), Pm at (0.2526, 0.7500, 0.3383), Pm at (0.4130, 0.0047, 0.7606), Pr at (0.1518, 0.2500, 0.0244), Ir at (0.2597, 0.7500, 0.9900) and Ir at (0.3704, 0.2500, 0.4054).

For the density of states at the Fermi level, the calculation gives 1.175 states/eV per atom. For the formation energy, the calculation gives -0.40 eV/atom. As for the total energy: -6.33 eV/atom.

---

Nb2AlB2Ir5: optimized geometry, PBE.

It has space group P4/mbm (No. 127), with a = 9.6655 Å, b = 9.6655 Å, c = 2.8538 Å, α = 90.00°, β = 90.00° and γ = 90.00°. The distinct sites, in fractional coordinates, are Nb at (0.1866, 0.3134, 0.0000), Al at (0.0000, 0.0000, 0.0000), B at (0.1280, 0.6280, 0.0000), Ir at (0.0000, 0.5000, 0.5000) and Ir at (0.0529, 0.7877, 0.5000).

For the density of states at the Fermi level, the calculation gives 0.615 states/eV per atom. For the formation energy, the calculation gives -0.57 eV/atom. As for the total energy: -8.73 eV/atom.

---

Sr4SiN: optimized geometry, PBE.

It has space group C2/c (No. 15), with a = 8.7356 Å, b = 12.0433 Å, c = 8.0765 Å, α = 90.00°, β = 112.31° and γ = 90.00°. The distinct sites, in fractional coordinates, are Sr at (0.0253, 0.1523, 0.0276), Sr at (0.1943, 0.4584, 0.1463), Si at (0.0000, 0.3518, 0.7500) and N at (0.0000, 0.0050, 0.7500).

For the density of states at the Fermi level, the calculation gives 0.490 states/eV per atom. As for the total energy: -3.71 eV/atom. Its formation energy (no corrections) is -0.295 eV per atom.

---

Fe2SiPb: optimized geometry, PBE.

It has space group P4/mmm (No. 123), with a = 3.0265 Å, b = 3.0265 Å, c = 6.8053 Å, α = 90.00°, β = 90.00° and γ = 90.00°. The distinct sites, in fractional coordinates, are Fe at (0.0000, 0.0000, 0.1720), Si at (0.5000, 0.5000, 0.0000) and Pb at (0.5000, 0.5000, 0.5000).

For the density of states at the Fermi level, the calculation gives 0.823 states/eV per atom. As for the total energy: -6.30 eV/atom. Its formation energy (no corrections) is 0.215 eV per atom. The energy above the lowest structure with this stoichiometry is 1.39 kcal/mol of atoms.